Record 1
This record from Alexandria via LeMat-Bulk describes InGe2PH24C8 after structural relaxation. The functional is GGA-PBEsol.

The density of states at the Fermi level comes out at 0.000 states/eV per cell. The value obtained for the spin magnetization is 0.0 Bohr magnetons per cell. As for the total DFT energy (no corrections): -358.1 eV for the cell shown.

Lattice parameters (Å, degrees): 9.361 9.797 9.863 77.41 63.58 80.93
Space group P-1 (No. 2)
Unique sites:
In (0.034, 0.077, 0.146)
Ge (0.177, 0.664, 0.136)
Ge (0.262, 0.243, 0.689)
P (0.020, 0.168, 0.882)
H (0.005, 0.457, 0.292)
H (0.073, 0.458, 0.091)
H (0.116, 0.681, 0.411)
H (0.130, 0.746, 0.645)
H (0.167, 0.379, 0.488)
H (0.189, 0.919, 0.557)
H (0.206, 0.397, 0.181)
H (0.208, 0.198, 0.471)
H (0.234, 0.498, 0.730)
H (0.269, 0.794, 0.278)
H (0.272, 0.816, 0.683)
H (0.279, 0.067, 0.231)
H (0.316, 0.609, 0.314)
H (0.324, 0.383, 0.843)
H (0.328, 0.178, 0.049)
H (0.347, 0.658, 0.851)
H (0.356, 0.992, 0.060)
H (0.369, 0.310, 0.399)
H (0.396, 0.997, 0.660)
H (0.401, 0.797, 0.907)
H (0.429, 0.064, 0.799)
H (0.440, 0.435, 0.642)
H (0.459, 0.876, 0.402)
H (0.468, 0.620, 0.954)
C (0.108, 0.475, 0.179)
C (0.163, 0.841, 0.663)
C (0.224, 0.690, 0.302)
C (0.250, 0.287, 0.491)
C (0.278, 0.078, 0.118)
C (0.320, 0.407, 0.731)
C (0.368, 0.688, 0.942)
C (0.423, 0.091, 0.687)

Record 2
This record from Alexandria via LeMat-Bulk describes TaMoW after structural relaxation. The functional is GGA-PBEsol.

The formation energy is -0.146 eV/atom. The density of states at the Fermi level comes out at 2.055 states/eV per cell. Its energy relative to the lowest polymorph listed for this composition is 0.0 meV per atom. The value obtained for the spin magnetization is 0.0 Bohr magnetons per cell.

Lattice parameters (Å, degrees): 3.172 3.172 9.583 90.00 90.00 90.00
Space group I4mm (No. 107)
Unique sites:
Ta (0.000, 0.000, 0.000)
Mo (0.000, 0.000, 0.669)
W (0.000, 0.000, 0.328)

Record 3
This record from Alexandria via LeMat-Bulk describes TeAs2Pb after structural relaxation. The functional is GGA-PBEsol.

The density of states at the Fermi level comes out at 3.910 states/eV per cell. Its energy relative to the lowest polymorph listed for this composition is 0.0 meV per atom. The value obtained for the spin magnetization is 0.0 Bohr magnetons per cell. For the formation energy from raw total energies, the calculation gives 2.20 kcal/mol of atoms.

Lattice parameters (Å, degrees): 4.1190 4.1190 20.7116 90.00 90.00 120.00
Space group R-3m (No. 166, hexagonal axes)
Unique sites:
Te (0.0000, 0.0000, 0.0000)
As (0.0000, 0.0000, 0.2536)
Pb (0.0000, 0.0000, 0.5000)

Record 4
This record from Alexandria via LeMat-Bulk describes AlNiRh2 after structural relaxation. The functional is GGA-PBEsol.

The formation energy is -0.265 eV/atom. The density of states at the Fermi level comes out at 4.706 states/eV per cell. The value obtained for the spin magnetization is 0.0 Bohr magnetons per cell.

Lattice parameters (Å, degrees): 2.665 4.239 4.598 90.00 92.63 90.00
Space group P2/m (No. 10)
Unique sites:
Al (0.000, 0.000, 0.000)
Ni (0.500, 0.000, 0.500)
Rh (0.260, 0.500, 0.744)